First-principles (PBE) data for an optimized crystal structure of Ta2BeFe, as listed in Alexandria via LeMat-Bulk.

Cell: 3.0056 3.0056 22.4419 Å, 90.00 90.00 120.00°
Space group R-3m (No. 166, hexagonal axes)
Inequivalent atoms, fractional coordinates:
1 Ta 0.0000 0.0000 0.2451
2 Be 0.0000 0.0000 0.5000
3 Fe 0.0000 0.0000 0.0000

Computed properties:
total magnetization: 1.0 μB per formula unit
formation energy: 0.293 eV per atom